Below is crystalline TeWF2 at its relaxed geometry, with properties calculated at the GGA+U level.

abc: 4.5854 4.5854 7.9144
angles: 73.16 73.16 90.00
Closest atoms and distances in Å follow each position.
Fractional positions:
F1 0.8750 0.1192 0.7500  2 W 2.14, 2 F 2.29
Te1 0.5000 0.5000 0.0000  8 F 3.12-3.15, 4 W 3.24
W1 0.7500 0.2500 0.5000  4 F 2.14
W2 0.0000 0.0000 0.0000  4 F 2.14
Te2 0.2500 0.7500 0.5000  8 F 3.12-3.15, 4 W 3.24
F2 0.8692 0.1250 0.2500  2 W 2.14, 2 F 2.29
F3 0.3750 0.1308 0.7500  2 W 2.14, 2 F 2.29
F4 0.8808 0.6250 0.2500  2 W 2.14, 2 F 2.29

E   -34.278 eV for the cell shown
Space-group type   I-42d (122)
Total moment   2.1 μB per formula unit